(1)
Density functional theory data (GGA-PBE) for crystalline Li3ZrN2 at its relaxed geometry.

Properties
E_tot   -5.717 eV/atom
SG   Ibam, No. 72

```
Li3ZrN2
1.0
-2.583 5.086 2.633
2.583 -5.086 2.633
2.583 5.086 -2.633
Li Zr N
6 2 4
Direct
0.023 0.250 0.773
0.250 0.250 0.000
0.477 0.250 0.227
0.523 0.750 0.773
0.750 0.750 0.000
0.977 0.750 0.227
0.250 0.750 0.500
0.750 0.250 0.500
0.118 0.747 0.865
0.382 0.247 0.630
0.618 0.753 0.370
0.882 0.253 0.135
```



(2)
Density functional theory data (GGA-PBE) for crystalline LiGa2AgS4 at its relaxed geometry.

Properties
E_tot   -4.186 eV/atom
SG   I-4, No. 82

```
LiGa2AgS4
1.0
-2.847 2.847 5.221
2.847 -2.847 5.221
2.847 2.847 -5.221
Li Ga Ag S
1 2 1 4
Direct
0.000 0.000 0.000
0.250 0.750 0.500
0.500 0.500 0.000
0.750 0.250 0.500
0.159 0.122 0.522
0.363 0.841 0.963
0.600 0.637 0.478
0.878 0.400 0.037
```